(1)
Here is a geometry-optimized SrBeCu2 structure from Alexandria. Energies are from GGA-PBEsol.

a b c (Å): 5.746 5.746 5.746
angles (deg): 40.72 40.72 40.72
Element x y z (fractional)
Sr 0.000 0.000 0.000
Be 0.500 0.500 0.500
Cu 0.189 0.189 0.189
Cu 0.811 0.811 0.811

For the volume, the calculation gives 72.8 Å³/cell. The density of states at the Fermi level is 1.80 states/eV/f.u. Its formation energy is -0.01 eV per atom. As for the space-group type: R-3m (166).

(2)
Here is a geometry-optimized Ta2TcBr structure from Alexandria. Energies are from GGA-PBEsol.

a b c (Å): 3.128 4.452 4.761
angles (deg): 90.00 90.00 90.00
Element x y z (fractional)
Ta 0.000 0.000 0.000
Ta 0.500 0.000 0.500
Tc 0.000 0.500 0.500
Br 0.500 0.500 0.000

For the volume, the calculation gives 66.3 Å³/cell. The density of states at the Fermi level is 2.98 states/eV/f.u. Its polymorph energy (0 for the lowest one) is 127.8 kJ/mol of formula units. As for the space-group type: Pmmm (47).

(3)
Here is a geometry-optimized Mo2OsRh structure from Alexandria. Energies are from GGA-PBEsol.

a b c (Å): 2.756 4.404 4.751
angles (deg): 90.00 90.00 90.00
Element x y z (fractional)
Mo 0.000 0.000 0.000
Mo 0.000 0.500 0.348
Os 0.500 0.500 0.851
Rh 0.500 0.000 0.496

For the volume, the calculation gives 57.7 Å³/cell. The density of states at the Fermi level is 4.35 states/eV/f.u. Its formation energy is -0.07 eV per atom. Its polymorph energy (0 for the lowest one) is 2.2 kJ/mol of formula units. As for the space-group type: Pmm2 (25).

(4)
Here is a geometry-optimized KCo2H3Se2O10 structure from Alexandria. Energies are from GGA-PBEsol.

a b c (Å): 5.556 5.556 7.637
angles (deg): 110.27 110.27 70.90
Element x y z (fractional)
K 0.000 0.000 0.000
Co 0.001 0.494 0.503
Co 0.494 0.001 0.503
H 0.187 0.187 0.721
H 0.807 0.807 0.275
H 0.981 0.981 0.487
Se 0.419 0.419 0.219
Se 0.580 0.580 0.781
O 0.151 0.151 0.579
O 0.247 0.679 0.724
O 0.296 0.296 0.987
O 0.306 0.306 0.351
O 0.321 0.753 0.276
O 0.679 0.247 0.724
O 0.694 0.694 0.650
O 0.704 0.704 0.013
O 0.753 0.321 0.276
O 0.847 0.847 0.418

The value obtained for the calculated total energy is -103.0 eV/cell. For the volume, the calculation gives 201.6 Å³/cell. The density of states at the Fermi level is 5.45 states/eV/f.u. As for the space-group type: Cm (8).

(5)
Here is a geometry-optimized Cu2Ag structure from Alexandria. Energies are from GGA-PBEsol.

a b c (Å): 5.771 5.771 5.771
angles (deg): 153.08 153.08 38.44
Element x y z (fractional)
Cu 0.176 0.176 0.000
Cu 0.824 0.824 0.000
Ag 0.500 0.500 0.000

For the volume, the calculation gives 39.3 Å³/cell. The density of states at the Fermi level is 0.71 states/eV/f.u. Its formation energy is 0.08 eV per atom. Its polymorph energy (0 for the lowest one) is 4.2 kJ/mol of formula units. As for the space-group type: I4/mmm (139).

(6)
Here is a geometry-optimized TlFeC3 structure from Alexandria. Energies are from GGA-PBEsol.

a b c (Å): 3.845 3.845 3.845
angles (deg): 90.00 90.00 90.00
Element x y z (fractional)
Tl 0.000 0.000 0.000
Fe 0.500 0.500 0.500
C 0.000 0.500 0.500
C 0.500 0.000 0.500
C 0.500 0.500 0.000

For the volume, the calculation gives 56.9 Å³/cell. The density of states at the Fermi level is 3.41 states/eV/f.u. Its formation energy is 1.95 eV per atom. As for the space-group type: Pm-3m (221).

(7)
Here is a geometry-optimized LiTcPb2 structure from Alexandria. Energies are from GGA-PBEsol.

a b c (Å): 3.422 4.333 5.467
angles (deg): 90.00 90.00 90.00
Element x y z (fractional)
Li 0.000 0.000 0.000
Tc 0.500 0.000 0.500
Pb 0.000 0.500 0.500
Pb 0.500 0.500 0.000

For the volume, the calculation gives 81.1 Å³/cell. The density of states at the Fermi level is 2.94 states/eV/f.u. Its formation energy is 0.47 eV per atom. Its polymorph energy (0 for the lowest one) is 87.2 kJ/mol of formula units. As for the space-group type: Pmmm (47).

(8)
Here is a geometry-optimized Cd3Pd structure from Alexandria. Energies are from GGA-PBEsol.

a b c (Å): 4.157 4.157 4.157
angles (deg): 90.00 90.00 90.00
Element x y z (fractional)
Cd 0.000 0.000 0.500
Cd 0.000 0.500 0.000
Cd 0.500 0.000 0.000
Pd 0.500 0.500 0.500

For the volume, the calculation gives 71.8 Å³/cell. The density of states at the Fermi level is 1.34 states/eV/f.u. Its formation energy is -0.23 eV per atom. As for the space-group type: Pm-3m (221).

(9)
Here is a geometry-optimized LaSn2 structure from Alexandria. Energies are from GGA-PBEsol.

a b c (Å): 8.110 8.110 4.696
angles (deg): 90.00 90.00 147.56
Element x y z (fractional)
La 0.147 0.853 0.000
La 0.853 0.147 0.000
Sn 0.000 0.000 0.500
Sn 0.320 0.680 0.500
Sn 0.500 0.500 0.000
Sn 0.680 0.320 0.500

For the volume, the calculation gives 165.7 Å³/cell. The density of states at the Fermi level is 1.59 states/eV/f.u. Its formation energy is -0.72 eV per atom. As for the space-group type: Cmmm (65).

(10)
Here is a geometry-optimized LiBeSe structure from Alexandria. Energies are from GGA-PBEsol.

a b c (Å): 5.635 5.073 3.612
angles (deg): 78.94 62.08 38.98
Element x y z (fractional)
Li 0.000 0.000 0.000
Be 0.309 0.309 0.691
Se 0.704 0.704 0.296

For the volume, the calculation gives 54.6 Å³/cell. The density of states at the Fermi level is 1.20 states/eV/f.u. Its polymorph energy (0 for the lowest one) is 68.8 kJ/mol of formula units. As for the space-group type: Fmm2 (42).

(11)
Here is a geometry-optimized ScMnCr structure from Alexandria. Energies are from GGA-PBEsol.

a b c (Å): 4.117 4.117 4.117
angles (deg): 60.00 60.00 60.00
Element x y z (fractional)
Sc 0.000 0.000 0.000
Mn 0.500 0.500 0.500
Cr 0.750 0.750 0.750

For the volume, the calculation gives 49.4 Å³/cell. The density of states at the Fermi level is 4.34 states/eV/f.u. Its formation energy is 0.74 eV per atom. Its polymorph energy (0 for the lowest one) is 217.5 kJ/mol of formula units. As for the space-group type: F-43m (216).

(12)
Here is a geometry-optimized Zn2CrTe structure from Alexandria. Energies are from GGA-PBEsol.

a b c (Å): 4.673 4.673 4.673
angles (deg): 60.00 60.00 60.00
Element x y z (fractional)
Zn 0.000 0.000 0.000
Zn 0.250 0.250 0.250
Cr 0.750 0.750 0.750
Te 0.500 0.500 0.500

The value obtained for the calculated total energy is -15.2 eV/cell. For the volume, the calculation gives 72.1 Å³/cell. The density of states at the Fermi level is 2.34 states/eV/f.u. As for the space-group type: F-43m (216).

(13)
Here is a geometry-optimized Li2CaCd structure from Alexandria. Energies are from GGA-PBEsol.

a b c (Å): 5.114 5.114 5.114
angles (deg): 60.00 60.00 60.00
Element x y z (fractional)
Li 0.000 0.000 0.000
Li 0.250 0.250 0.250
Ca 0.750 0.750 0.750
Cd 0.500 0.500 0.500

For the volume, the calculation gives 94.6 Å³/cell. The density of states at the Fermi level is 2.90 states/eV/f.u. Its formation energy is -0.13 eV per atom. Its polymorph energy (0 for the lowest one) is 10.4 kJ/mol of formula units. As for the space-group type: F-43m (216).

(14)
Here is a geometry-optimized Tl3SbF structure from Alexandria. Energies are from GGA-PBEsol.

a b c (Å): 5.104 5.104 5.104
angles (deg): 90.00 90.00 90.00
Element x y z (fractional)
Tl 0.000 0.000 0.500
Tl 0.000 0.500 0.000
Tl 0.500 0.000 0.000
Sb 0.500 0.500 0.500
F 0.000 0.000 0.000

The value obtained for the calculated total energy is -17.0 eV/cell. For the volume, the calculation gives 133.0 Å³/cell. The density of states at the Fermi level is 2.60 states/eV/f.u. As for the space-group type: Pm-3m (221).

(15)
Here is a geometry-optimized CuAgMo2 structure from Alexandria. Energies are from GGA-PBEsol.

a b c (Å): 2.593 4.044 5.619
angles (deg): 90.00 90.00 90.00
Element x y z (fractional)
Cu 0.000 0.000 0.000
Ag 0.500 0.500 0.764
Mo 0.000 0.000 0.490
Mo 0.500 0.500 0.247

For the volume, the calculation gives 58.9 Å³/cell. The density of states at the Fermi level is 2.20 states/eV/f.u. Its formation energy is 0.37 eV per atom. Its polymorph energy (0 for the lowest one) is 53.6 kJ/mol of formula units. As for the space-group type: Pmm2 (25).

(16)
Here is a geometry-optimized MnSbTeI2 structure from Alexandria. Energies are from GGA-PBEsol.

a b c (Å): 5.873 5.873 5.771
angles (deg): 90.00 90.00 90.00
Element x y z (fractional)
Mn 0.000 0.000 0.000
Sb 0.500 0.500 0.500
Te 0.500 0.500 0.000
I 0.000 0.500 0.500
I 0.500 0.000 0.500

The value obtained for the calculated total energy is -18.2 eV/cell. For the volume, the calculation gives 199.1 Å³/cell. The density of states at the Fermi level is 2.20 states/eV/f.u. As for the space-group type: P4/mmm (123).

(17)
Here is a geometry-optimized Fe3C structure from Alexandria. Energies are from GGA-PBEsol.

a b c (Å): 4.258 4.258 4.258
angles (deg): 116.14 116.14 116.14
Element x y z (fractional)
Fe 0.000 0.500 0.500
Fe 0.500 0.000 0.500
Fe 0.500 0.500 0.000
C 0.000 0.000 0.000

For the volume, the calculation gives 38.3 Å³/cell. The density of states at the Fermi level is 4.38 states/eV/f.u. Its formation energy is 0.87 eV per atom. As for the space-group type: R-3m (166).

(18)
Here is a geometry-optimized TaInSi structure from Alexandria. Energies are from GGA-PBEsol.

a b c (Å): 4.533 4.533 3.046
angles (deg): 90.00 90.00 120.00
Element x y z (fractional)
Ta 0.000 0.000 0.000
In 0.333 0.667 0.500
Si 0.667 0.333 0.000

The value obtained for the calculated total energy is -20.4 eV/cell. For the volume, the calculation gives 54.2 Å³/cell. The density of states at the Fermi level is 2.75 states/eV/f.u. As for the space-group type: P-6m2 (187).

(19)
Here is a geometry-optimized BeAlHg2 structure from Alexandria. Energies are from GGA-PBEsol.

a b c (Å): 2.931 2.931 8.103
angles (deg): 90.00 90.00 90.00
Element x y z (fractional)
Be 0.000 0.000 0.000
Al 0.500 0.500 0.189
Hg 0.000 0.000 0.467
Hg 0.500 0.500 0.788

For the volume, the calculation gives 69.6 Å³/cell. The density of states at the Fermi level is 1.04 states/eV/f.u. Its formation energy is 0.24 eV per atom. Its polymorph energy (0 for the lowest one) is 0.0 kJ/mol of formula units. As for the space-group type: P4mm (99).

(20)
Here is a geometry-optimized LaZnSe structure from Alexandria. Energies are from GGA-PBEsol.

a b c (Å): 4.872 4.872 4.872
angles (deg): 60.00 60.00 60.00
Element x y z (fractional)
La 0.000 0.000 0.000
Zn 0.500 0.500 0.500
Se 0.250 0.250 0.250

For the volume, the calculation gives 81.8 Å³/cell. The density of states at the Fermi level is 2.75 states/eV/f.u. Its polymorph energy (0 for the lowest one) is 36.4 kJ/mol of formula units. As for the space-group type: F-43m (216).